No. 1
# IrOsPt (PBE-GGA, relaxed)
data_IrOsPt
_space_group_name_H-M_alt 'P 1'
_space_group_IT_number 1
_space_group_name_Hall 'P 1'
_cell_length_a 4.2060
_cell_length_b 4.2060
_cell_length_c 4.2060
_cell_angle_alpha 60.00
_cell_angle_beta 60.00
_cell_angle_gamma 60.00
loop_
_atom_site_label
_atom_site_type_symbol
_atom_site_fract_x
_atom_site_fract_y
_atom_site_fract_z
_atom_site_occupancy
Ir1 Ir 0.0000 0.0000 0.0000 1
Os1 Os 0.7500 0.7500 0.7500 1
Pt1 Pt 0.2500 0.2500 0.2500 1
# ΔH_f (0 K) in eV/atom: 0.6867
# SG: F-43m (216)
# E above lowest polymorph in meV/atom: 0

No. 2
# Zr2W (PBE-GGA, relaxed)
data_Zr2W
_space_group_name_H-M_alt 'P 1'
_space_group_IT_number 1
_space_group_name_Hall 'P 1'
_cell_length_a 5.6341
_cell_length_b 5.6341
_cell_length_c 8.7138
_cell_angle_alpha 90.00
_cell_angle_beta 90.00
_cell_angle_gamma 120.00
loop_
_atom_site_label
_atom_site_type_symbol
_atom_site_fract_x
_atom_site_fract_y
_atom_site_fract_z
_atom_site_occupancy
Zr1 Zr 0.0000 0.0000 0.0000 1
Zr2 Zr 0.0000 0.0000 0.5000 1
Zr3 Zr 0.1755 0.3509 0.2500 1
Zr4 Zr 0.1755 0.8245 0.2500 1
Zr5 Zr 0.3509 0.1755 0.7500 1
Zr6 Zr 0.6491 0.8245 0.2500 1
Zr7 Zr 0.8245 0.1755 0.7500 1
Zr8 Zr 0.8245 0.6491 0.7500 1
W1 W 0.3333 0.6667 0.5715 1
W2 W 0.3333 0.6667 0.9285 1
W3 W 0.6667 0.3333 0.0715 1
W4 W 0.6667 0.3333 0.4285 1
# ΔH_f (0 K) in eV/atom: 0.6870
# SG: P6_3/mmc (194)
# E above lowest polymorph in meV/atom: 545

No. 3
# Hf2FeIr (PBE-GGA, relaxed)
data_Hf2FeIr
_space_group_name_H-M_alt 'P 1'
_space_group_IT_number 1
_space_group_name_Hall 'P 1'
_cell_length_a 4.5557
_cell_length_b 4.5557
_cell_length_c 4.5557
_cell_angle_alpha 60.00
_cell_angle_beta 60.00
_cell_angle_gamma 60.00
loop_
_atom_site_label
_atom_site_type_symbol
_atom_site_fract_x
_atom_site_fract_y
_atom_site_fract_z
_atom_site_occupancy
Hf1 Hf 0.2500 0.2500 0.2500 1
Hf2 Hf 0.7500 0.7500 0.7500 1
Fe1 Fe 0.0000 0.0000 0.0000 1
Ir1 Ir 0.5000 0.5000 0.5000 1
# ΔH_f (0 K) in eV/atom: -0.6652
# SG: Fm-3m (225)
# E above lowest polymorph in meV/atom: 0

No. 4
# Pr3Sn3Ir2Pd (PBE-GGA, relaxed)
data_Pr3Sn3Ir2Pd
_space_group_name_H-M_alt 'P 1'
_space_group_IT_number 1
_space_group_name_Hall 'P 1'
_cell_length_a 7.5795
_cell_length_b 7.5795
_cell_length_c 4.1819
_cell_angle_alpha 90.00
_cell_angle_beta 90.00
_cell_angle_gamma 120.00
loop_
_atom_site_label
_atom_site_type_symbol
_atom_site_fract_x
_atom_site_fract_y
_atom_site_fract_z
_atom_site_occupancy
Pr1 Pr 0.0000 0.4141 0.0000 1
Pr2 Pr 0.4141 0.0000 0.0000 1
Pr3 Pr 0.5859 0.5859 0.0000 1
Sn1 Sn 0.0000 0.7451 0.5000 1
Sn2 Sn 0.2549 0.2549 0.5000 1
Sn3 Sn 0.7451 0.0000 0.5000 1
Ir1 Ir 0.3333 0.6667 0.5000 1
Ir2 Ir 0.6667 0.3333 0.5000 1
Pd1 Pd 0.0000 0.0000 0.0000 1
# SG: P-62m (189)

No. 5
# Dy2HoAs3 (PBE-GGA, relaxed)
data_Dy2HoAs3
_space_group_name_H-M_alt 'P 1'
_space_group_IT_number 1
_space_group_name_Hall 'P 1'
_cell_length_a 4.1078
_cell_length_b 4.1078
_cell_length_c 10.0646
_cell_angle_alpha 90.00
_cell_angle_beta 90.00
_cell_angle_gamma 120.00
loop_
_atom_site_label
_atom_site_type_symbol
_atom_site_fract_x
_atom_site_fract_y
_atom_site_fract_z
_atom_site_occupancy
Dy1 Dy 0.3333 0.6667 0.3331 1
Dy2 Dy 0.6667 0.3333 0.6669 1
Ho1 Ho 0.0000 0.0000 0.0000 1
As1 As 0.0000 0.0000 0.5000 1
As2 As 0.3333 0.6667 0.8340 1
As3 As 0.6667 0.3333 0.1660 1
# SG: P-3m1 (164)

No. 6
# AcHoTa (PBE-GGA, relaxed)
data_AcHoTa
_space_group_name_H-M_alt 'P 1'
_space_group_IT_number 1
_space_group_name_Hall 'P 1'
_cell_length_a 5.2123
_cell_length_b 5.2123
_cell_length_c 5.2123
_cell_angle_alpha 60.00
_cell_angle_beta 60.00
_cell_angle_gamma 60.00
loop_
_atom_site_label
_atom_site_type_symbol
_atom_site_fract_x
_atom_site_fract_y
_atom_site_fract_z
_atom_site_occupancy
Ac1 Ac 0.0000 0.0000 0.0000 1
Ho1 Ho 0.2500 0.2500 0.2500 1
Ta1 Ta 0.5000 0.5000 0.5000 1
# ΔH_f (0 K) in eV/atom: 1.3032
# SG: F-43m (216)

No. 7
# PrNdAs2Pt2 (PBE-GGA, relaxed)
data_PrNdAs2Pt2
_space_group_name_H-M_alt 'P 1'
_space_group_IT_number 1
_space_group_name_Hall 'P 1'
_cell_length_a 4.3587
_cell_length_b 4.3587
_cell_length_c 16.0056
_cell_angle_alpha 90.00
_cell_angle_beta 90.00
_cell_angle_gamma 120.00
loop_
_atom_site_label
_atom_site_type_symbol
_atom_site_fract_x
_atom_site_fract_y
_atom_site_fract_z
_atom_site_occupancy
Pr1 Pr 0.0000 0.0000 0.0000 1
Pr2 Pr 0.0000 0.0000 0.5000 1
Nd1 Nd 0.0000 0.0000 0.2500 1
Nd2 Nd 0.0000 0.0000 0.7500 1
As1 As 0.3333 0.6667 0.1194 1
As2 As 0.3333 0.6667 0.3806 1
As3 As 0.6667 0.3333 0.6194 1
As4 As 0.6667 0.3333 0.8806 1
Pt1 Pt 0.3333 0.6667 0.6317 1
Pt2 Pt 0.3333 0.6667 0.8683 1
Pt3 Pt 0.6667 0.3333 0.1317 1
Pt4 Pt 0.6667 0.3333 0.3683 1
# SG: P6_3/mmc (194)
# E above lowest polymorph in meV/atom: 0

No. 8
# PIrPdO (PBE-GGA, relaxed)
data_PIrPdO
_space_group_name_H-M_alt 'P 1'
_space_group_IT_number 1
_space_group_name_Hall 'P 1'
_cell_length_a 3.7645
_cell_length_b 5.9168
_cell_length_c 5.5313
_cell_angle_alpha 90.00
_cell_angle_beta 90.00
_cell_angle_gamma 90.00
loop_
_atom_site_label
_atom_site_type_symbol
_atom_site_fract_x
_atom_site_fract_y
_atom_site_fract_z
_atom_site_occupancy
P1 P 0.0000 0.2435 0.0000 1
P2 P 0.0000 0.7565 0.5000 1
Ir1 Ir 0.0000 0.1344 0.6033 1
Ir2 Ir 0.0000 0.8656 0.1033 1
Pd1 Pd 0.5000 0.4782 0.0405 1
Pd2 Pd 0.5000 0.5218 0.5405 1
O1 O 0.5000 0.1581 0.5390 1
O2 O 0.5000 0.8419 0.0390 1
# SG: Pmc2_1 (26)
# E above lowest polymorph in meV/atom: 2

No. 9
# KNdHgTe3 (PBE-GGA, relaxed)
data_KNdHgTe3
_space_group_name_H-M_alt 'P 1'
_space_group_IT_number 1
_space_group_name_Hall 'P 1'
_cell_length_a 10.5980
_cell_length_b 10.5980
_cell_length_c 9.6320
_cell_angle_alpha 102.18
_cell_angle_beta 102.18
_cell_angle_gamma 24.84
loop_
_atom_site_label
_atom_site_type_symbol
_atom_site_fract_x
_atom_site_fract_y
_atom_site_fract_z
_atom_site_occupancy
K1 K 0.1355 0.1355 0.0716 1
K2 K 0.8645 0.8645 0.9284 1
Nd1 Nd 0.1741 0.1741 0.5825 1
Nd2 Nd 0.8259 0.8259 0.4175 1
Hg1 Hg 0.4660 0.4660 0.2782 1
Hg2 Hg 0.5340 0.5340 0.7218 1
Te1 Te 0.0000 0.0000 0.5000 1
Te2 Te 0.3234 0.3234 0.1858 1
Te3 Te 0.3285 0.3285 0.6429 1
Te4 Te 0.5000 0.5000 0.0000 1
Te5 Te 0.6715 0.6715 0.3571 1
Te6 Te 0.6766 0.6766 0.8142 1
# SG: C2/m (12)

No. 10
# MgTaIr2 (PBE-GGA, relaxed)
data_MgTaIr2
_space_group_name_H-M_alt 'P 1'
_space_group_IT_number 1
_space_group_name_Hall 'P 1'
_cell_length_a 4.6029
_cell_length_b 4.6029
_cell_length_c 4.6029
_cell_angle_alpha 125.18
_cell_angle_beta 125.18
_cell_angle_gamma 81.23
loop_
_atom_site_label
_atom_site_type_symbol
_atom_site_fract_x
_atom_site_fract_y
_atom_site_fract_z
_atom_site_occupancy
Mg1 Mg 0.0000 0.0000 0.0000 1
Ta1 Ta 0.5000 0.5000 0.0000 1
Ir1 Ir 0.2500 0.7500 0.5000 1
Ir2 Ir 0.7500 0.2500 0.5000 1
# SG: I4/mmm (139)
# E above lowest polymorph in meV/atom: 0

In order of appearance, energy = -24.076; -111.973; -39.735; -56.401; -36.934; -16.626; -76.791; -50.953; -41.794; -33.561 eV/cell.